No. 1
## LaPm2Tc (PBE)

Data for a relaxed LaPm2Tc crystal.

Cell and atoms, written as POSCAR:
```
LaPm2Tc
1.0
7.408 0.000 0.000
0.000 9.703 0.000
0.000 0.000 6.623
La Pm Tc
4 8 4
direct
0.059 0.250 0.132
0.441 0.750 0.632
0.559 0.250 0.368
0.941 0.750 0.868
0.175 0.067 0.667
0.175 0.433 0.667
0.325 0.567 0.167
0.325 0.933 0.167
0.675 0.067 0.833
0.675 0.433 0.833
0.825 0.567 0.333
0.825 0.933 0.333
0.123 0.750 0.476
0.377 0.250 0.976
0.623 0.750 0.024
0.877 0.250 0.524
```

Computed properties:
- E_tot (eV/atom) = -6.23
- space-group type = Pnma, No. 62
- excess energy over the best structure of this formula in the dataset (meV per atom) = 0
- total moment (μB/f.u.) = 0.00
- energy relative to the elements (eV per atom) = -0.03
- crystal system = orthorhombic
- DOS at the Fermi energy (states/eV/atom) = 0.856



No. 2
## La2PmTc (PBE)

Data for a relaxed La2PmTc crystal.

Cell and atoms, written as POSCAR:
```
La2PmTc
1.0
7.430 0.000 0.000
0.000 9.845 0.000
0.000 0.000 6.636
La Pm Tc
8 4 4
direct
0.174 0.069 0.166
0.174 0.431 0.166
0.326 0.569 0.666
0.326 0.931 0.666
0.674 0.069 0.334
0.674 0.431 0.334
0.826 0.569 0.834
0.826 0.931 0.834
0.059 0.250 0.641
0.441 0.750 0.141
0.559 0.250 0.859
0.941 0.750 0.359
0.082 0.750 0.948
0.418 0.250 0.448
0.582 0.750 0.552
0.918 0.250 0.052
```

Computed properties:
- E_tot (eV/atom) = -6.26
- space-group type = Pnma, No. 62
- excess energy over the best structure of this formula in the dataset (meV per atom) = 0
- total moment (μB/f.u.) = 0.00
- energy relative to the elements (eV per atom) = -0.02
- crystal system = orthorhombic
- DOS at the Fermi energy (states/eV/atom) = 0.953



No. 3
## LaPmTc (PBE)

Data for a relaxed LaPmTc crystal.

Cell and atoms, written as POSCAR:
```
LaPmTc
1.0
-1.764 1.764 6.813
1.764 -1.764 6.813
1.764 1.764 -6.813
La Pm Tc
1 1 1
direct
0.000 0.000 0.000
0.250 0.250 0.000
0.627 0.627 0.000
```

Computed properties:
- E_tot (eV/atom) = -6.60
- space-group type = I4mm, No. 107
- excess energy over the best structure of this formula in the dataset (meV per atom) = 0
- total moment (μB/f.u.) = 0.00
- energy relative to the elements (eV per atom) = 0.08
- crystal system = tetragonal
- DOS at the Fermi energy (states/eV/atom) = 1.305